CaMoNO2 | GGA+U | relaxed

Values from the calculation:
Its space-group type is No. 123. As for the total energy: -5.106 eV/atom.

POSCAR file:
```
CaMoNO2
1.0
-1.994 0.280 -3.778
2.195 -3.394 -1.410
-3.190 -2.680 1.484
O Ca N Mo
2 1 1 1
direct
0.000 0.500 0.000 O
0.500 0.000 0.000 O
0.000 0.000 0.000 Ca
0.000 0.000 0.500 N
0.500 0.500 0.500 Mo
```